The following is a DFT calculation (GGA-PBE) of crystalline PmCdCuRu at its relaxed geometry.

Results
mass density	9.057	g/cm³
Fermi-level density of states	0.371	states/eV/atom
energy relative to the elements	0.0388	eV per atom

Geometry as POSCAR:
```
PmCdCuRu
1.0
4.7830 0.0000 0.0000
2.3915 4.1422 0.0000
2.3915 1.3807 3.9053
Ru Cd Cu Pm
1 1 1 1
Direct
0.5000 0.5000 0.5000
0.7500 0.7500 0.7500
0.0000 0.0000 0.0000
0.2500 0.2500 0.2500
```


The following is a DFT calculation (GGA-PBE) of crystalline Pm2CdCu4Si3 at its relaxed geometry.

Results
E_form (uncorrected)	-0.450	eV/atom
mass density	7.049	g/cm³
Fermi-level density of states	0.298	states/eV/atom

Geometry as POSCAR:
```
Pm2CdCu4Si3
1.0
-3.3092 1.4956 -1.9531
-1.1645 -3.8362 -0.9643
-5.3940 -0.5534 8.7153
Pm Cd Cu Si
2 1 4 3
Direct
0.5000 0.0000 0.2337
0.0000 0.5000 0.7663
0.5000 0.5000 0.5000
0.5000 0.5000 0.0000
0.0000 0.0000 0.0000
0.5000 0.0000 0.6483
0.0000 0.5000 0.3517
0.0000 0.0000 0.5000
0.5000 0.0000 0.8743
0.0000 0.5000 0.1257
```


The following is a DFT calculation (GGA-PBE) of crystalline Pm2CdCu4Sn3 at its relaxed geometry.

Results
mass density	8.028	g/cm³
Fermi-level density of states	0.384	states/eV/atom
energy relative to the elements	-0.3798	eV per atom

Geometry as POSCAR:
```
Pm2CdCu4Sn3
1.0
4.3865 0.0000 0.0000
0.0000 4.3865 0.0000
0.0000 0.0000 10.8870
Pm Cd Cu Sn
2 1 4 3
Direct
0.5000 0.0000 0.2383
0.0000 0.5000 0.7617
0.5000 0.5000 0.5000
0.5000 0.5000 0.0000
0.0000 0.0000 0.0000
0.5000 0.0000 0.6386
0.0000 0.5000 0.3614
0.0000 0.0000 0.5000
0.5000 0.0000 0.8692
0.0000 0.5000 0.1308
```


The following is a DFT calculation (GGA-PBE) of crystalline SrPmCdCu at its relaxed geometry.

Results
mass density	6.157	g/cm³
Fermi-level density of states	0.899	states/eV/atom
energy relative to the elements	-0.1115	eV per atom

Geometry as POSCAR:
```
SrPmCdCu
1.0
5.3814 0.0000 0.0000
2.6907 4.6604 0.0000
2.6907 1.5535 4.3939
Sr Cd Cu Pm
1 1 1 1
Direct
0.2500 0.2500 0.2500
0.5000 0.5000 0.5000
0.0000 0.0000 0.0000
0.7500 0.7500 0.7500
```


The following is a DFT calculation (GGA-PBE) of crystalline TbPmCdCu at its relaxed geometry.

Results
mass density	8.029	g/cm³
Fermi-level density of states	0.724	states/eV/atom
energy relative to the elements	-0.2067	eV per atom

Geometry as POSCAR:
```
TbPmCdCu
1.0
-4.2522 0.6456 2.9173
-1.1181 -3.4145 3.7550
0.4568 1.3820 4.9890
Cd Tb Cu Pm
1 1 1 1
Direct
0.7500 0.7500 0.7500
0.5000 0.5000 0.5000
0.2500 0.2500 0.2500
0.0000 0.0000 0.0000
```


The following is a DFT calculation (GGA-PBE) of crystalline PmTlCdCu at its relaxed geometry.

Results
mass density	9.521	g/cm³
Fermi-level density of states	0.546	states/eV/atom
energy relative to the elements	-0.1507	eV per atom

Geometry as POSCAR:
```
PmTlCdCu
1.0
5.0603 0.0000 0.0000
2.5301 4.3823 0.0000
2.5301 1.4608 4.1317
Tl Cd Cu Pm
1 1 1 1
Direct
0.5000 0.5000 0.5000
0.7500 0.7500 0.7500
0.0000 0.0000 0.0000
0.2500 0.2500 0.2500
```


The following is a DFT calculation (GGA-PBE) of crystalline Pm2Zn12CdCu3 at its relaxed geometry.

Results
mass density	5.721	g/cm³
Fermi-level density of states	0.514	states/eV/atom
energy relative to the elements	0.2304	eV per atom

Geometry as POSCAR:
```
Pm2Zn12CdCu3
1.0
8.5463 0.3410 0.2419
4.5171 7.2630 0.2419
4.5171 2.6294 6.7747
Pm Zn Cd Cu
2 12 1 3
Direct
0.6038 0.6038 0.6038
0.3962 0.3962 0.3962
0.3507 0.3507 0.8602
0.8414 0.8414 0.4848
0.4848 0.8414 0.8414
0.8602 0.3507 0.3507
0.8414 0.4848 0.8414
0.3507 0.8602 0.3507
0.6493 0.6493 0.1398
0.1586 0.1586 0.5152
0.5152 0.1586 0.1586
0.1398 0.6493 0.6493
0.1586 0.5152 0.1586
0.6493 0.1398 0.6493
0.0000 0.0000 0.0000
0.5000 0.0000 0.0000
0.0000 0.5000 0.0000
0.0000 0.0000 0.5000
```


The following is a DFT calculation (GGA-PBE) of crystalline Pm2Zn3CdCu12 at its relaxed geometry.

Results
mass density	7.196	g/cm³
Fermi-level density of states	0.307	states/eV/atom
energy relative to the elements	0.1024	eV per atom

Geometry as POSCAR:
```
Pm2Zn3CdCu12
1.0
9.3803 1.7652 1.2521
6.1674 7.2849 1.2521
6.1674 3.5900 6.4613
Pm Zn Cd Cu
2 3 1 12
Direct
0.6402 0.6402 0.6402
0.3598 0.3598 0.3598
0.5000 0.0000 0.0000
0.0000 0.5000 0.0000
0.0000 0.0000 0.5000
0.0000 0.0000 0.0000
0.4169 0.4169 0.7945
0.8732 0.8732 0.4597
0.4597 0.8732 0.8732
0.7945 0.4169 0.4169
0.8732 0.4597 0.8732
0.4169 0.7945 0.4169
0.5831 0.5831 0.2055
0.1268 0.1268 0.5403
0.5403 0.1268 0.1268
0.2055 0.5831 0.5831
0.1268 0.5403 0.1268
0.5831 0.2055 0.5831
```


The following is a DFT calculation (GGA-PBE) of crystalline Pr3Cd2Cu at its relaxed geometry.

Results
mass density	7.157	g/cm³
Fermi-level density of states	1.169	states/eV/atom
energy relative to the elements	-0.2338	eV per atom

Geometry as POSCAR:
```
Pr3Cd2Cu
1.0
-4.6694 -2.3472 1.0226
1.1777 -5.7387 6.0719
-1.5208 5.3662 5.3661
Pr Cd Cu
6 4 2
Direct
0.8281 0.3443 0.7687
0.4999 0.0000 0.2406
0.1719 0.6557 0.2313
0.8276 0.3443 0.2313
0.1724 0.6557 0.7687
0.5001 0.0000 0.7594
0.0000 0.0000 0.0000
0.0000 0.0000 0.5000
0.3344 0.3312 0.5000
0.6656 0.6688 0.5000
0.3427 0.3146 0.0000
0.6573 0.6854 0.0000
```


The following is a DFT calculation (GGA-PBE) of crystalline PrCd2Cu6 at its relaxed geometry.

Results
mass density	7.723	g/cm³
Fermi-level density of states	0.329	states/eV/atom
energy relative to the elements	0.0648	eV per atom

Geometry as POSCAR:
```
PrCd2Cu6
1.0
-1.0119 3.0287 -2.0294
-6.9400 -1.3374 -2.0625
-5.9982 2.6186 3.3720
Pr Cd Cu
1 2 6
Direct
0.0000 0.0000 0.0000
0.8673 0.6327 0.6327
0.1327 0.3673 0.3673
0.6831 0.0106 0.6232
0.3169 0.9894 0.3768
0.3169 0.3768 0.9894
0.5000 0.6763 0.3237
0.5000 0.3237 0.6763
0.6831 0.6232 0.0106
```


The following is a DFT calculation (GGA-PBE) of crystalline Pr3CdCu at its relaxed geometry.

Results
mass density	6.924	g/cm³
Fermi-level density of states	1.062	states/eV/atom
energy relative to the elements	-0.0746	eV per atom

Geometry as POSCAR:
```
Pr3CdCu
1.0
5.7975 -0.4225 -0.4268
-0.5625 7.2603 -0.1297
-0.5897 0.1749 6.9010
Pr Cd Cu
6 2 2
Direct
0.4878 0.9943 0.6965
0.6324 0.3401 0.0700
0.0669 0.1261 0.3214
0.9599 0.7872 0.8646
0.5768 0.4419 0.5429
0.5262 0.8334 0.2093
0.0624 0.6646 0.4210
0.0619 0.2604 0.7931
0.3698 0.6113 0.8323
0.1871 0.4840 0.1258
```


The following is a DFT calculation (GGA-PBE) of crystalline Pr6Cd2Cu at its relaxed geometry.

Results
mass density	6.682	g/cm³
Fermi-level density of states	1.147	states/eV/atom
energy relative to the elements	-0.0727	eV per atom

Geometry as POSCAR:
```
Pr6Cd2Cu
1.0
-0.5420 2.9020 5.8328
3.8431 -7.7756 4.2257
8.0065 4.3309 0.6876
Pr Cd Cu
12 4 2
Direct
0.8813 0.9675 0.2147
0.8916 0.6762 0.5215
0.8919 0.6920 0.9529
0.6081 0.1920 0.5471
0.6084 0.1762 0.9785
0.6187 0.4675 0.2853
0.1187 0.0325 0.7853
0.1084 0.3238 0.4785
0.1081 0.3080 0.0471
0.3919 0.8080 0.4529
0.3916 0.8238 0.0215
0.3813 0.5325 0.7147
0.8518 0.4107 0.7831
0.6482 0.9107 0.7169
0.3518 0.0893 0.2831
0.1482 0.5893 0.2169
0.5000 0.5000 0.0000
0.0000 0.0000 0.5000
```